## Ce2CuAsS5 (PBE)

Data for a geometry-optimized Ce2CuAsS5 structure.

POSCAR file:
```
Ce2CuAsS5
1.0
1.921 -8.148 0.000
1.921 8.148 0.000
0.000 0.000 11.860
Ce Cu As S
4 2 2 10
Direct
0.116 0.884 0.500
0.122 0.878 0.148
0.878 0.122 0.648
0.884 0.116 0.000
0.435 0.565 0.232
0.565 0.435 0.732
0.174 0.826 0.845
0.826 0.174 0.345
0.033 0.967 0.833
0.298 0.702 0.476
0.305 0.695 0.147
0.353 0.647 0.823
0.493 0.507 0.567
0.507 0.493 0.067
0.647 0.353 0.323
0.695 0.305 0.647
0.702 0.298 0.976
0.967 0.033 0.333
```

Computed properties:
Symmetry = No. 36
Electronic total energy = -5.721 eV per atom
Density = 5.18 g cm⁻³

***

## CeCuAsSe (PBE)

Data for a geometry-optimized CeCuAsSe structure.

POSCAR file:
```
CeCuAsSe
1.0
4.177 0.000 0.000
0.000 4.177 0.000
0.000 0.000 9.229
Ce Cu As Se
2 2 2 2
Direct
0.250 0.250 0.231
0.750 0.750 0.769
0.250 0.750 0.500
0.750 0.250 0.500
0.250 0.250 0.657
0.750 0.750 0.343
0.250 0.750 0.000
0.750 0.250 0.000
```

Computed properties:
Symmetry = No. 129
Electronic total energy = -5.479 eV per atom
Density = 7.37 g cm⁻³

***

## Ce3DyAs4 (PBE)

Data for a geometry-optimized Ce3DyAs4 structure.

POSCAR file:
```
Ce3DyAs4
1.0
4.192 -5.928 0.000
4.192 5.928 0.000
0.000 0.000 4.194
Ce Dy As
3 1 4
Direct
0.000 0.000 0.000
0.000 0.500 0.500
0.500 0.000 0.500
0.500 0.500 0.000
0.252 0.748 0.000
0.253 0.253 0.500
0.747 0.747 0.500
0.748 0.252 0.000
```

Computed properties:
Symmetry = No. 65
Energy relative to the lowest polymorph listed for this composition = 0.0 meV/atom
Density = 7.03 g cm⁻³

***

## CeDy3As4 (PBE)

Data for a geometry-optimized CeDy3As4 structure.

POSCAR file:
```
CeDy3As4
1.0
4.142 -5.851 0.000
4.142 5.851 0.000
0.000 0.000 4.143
Ce Dy As
1 3 4
Direct
0.000 0.000 0.000
0.000 0.500 0.500
0.500 0.000 0.500
0.500 0.500 0.000
0.251 0.749 0.000
0.253 0.253 0.500
0.747 0.747 0.500
0.749 0.251 0.000
```

Computed properties:
Symmetry = No. 65
Energy relative to the lowest polymorph listed for this composition = 0.0 meV/atom
Density = 7.67 g cm⁻³

***

## Ce5Dy3As8 (PBE)

Data for a geometry-optimized Ce5Dy3As8 structure.

POSCAR file:
```
Ce5Dy3As8
1.0
4.182 2.414 6.821
-4.182 2.414 6.821
0.000 -4.829 6.821
Ce Dy As
5 3 8
Direct
0.000 0.000 0.000
0.000 0.500 0.500
0.500 0.000 0.500
0.500 0.500 0.000
0.500 0.500 0.500
0.000 0.000 0.500
0.000 0.500 0.000
0.500 0.000 0.000
0.247 0.750 0.750
0.249 0.249 0.249
0.250 0.250 0.753
0.250 0.753 0.250
0.750 0.247 0.750
0.750 0.750 0.247
0.751 0.751 0.751
0.753 0.250 0.250
```

Computed properties:
Symmetry = No. 166
Electronic total energy = -6.507 eV per atom
Density = 7.18 g cm⁻³

***

## Ce5DyAs6 (PBE)

Data for a geometry-optimized Ce5DyAs6 structure.

POSCAR file:
```
Ce5DyAs6
1.0
3.639 -6.303 0.000
3.639 6.303 0.000
-2.427 0.000 6.862
Ce Dy As
5 1 6
Direct
0.000 0.000 0.000
0.166 0.834 0.500
0.333 0.667 0.000
0.667 0.333 0.000
0.834 0.166 0.500
0.500 0.500 0.500
0.086 0.417 0.252
0.252 0.252 0.749
0.417 0.086 0.252
0.583 0.914 0.748
0.748 0.748 0.251
0.914 0.583 0.748
```

Computed properties:
Symmetry = No. 12
Electronic total energy = -6.621 eV per atom
Density = 6.92 g cm⁻³

***

## CeDy3As4 (PBE)

Data for a geometry-optimized CeDy3As4 structure.

POSCAR file:
```
CeDy3As4
1.0
5.862 0.000 0.000
0.000 5.862 0.000
0.000 0.000 5.862
Ce Dy As
1 3 4
Direct
0.000 0.000 0.000
0.000 0.500 0.500
0.500 0.000 0.500
0.500 0.500 0.000
0.000 0.000 0.500
0.000 0.500 0.000
0.500 0.000 0.000
0.500 0.500 0.500
```

Computed properties:
Symmetry = No. 221
Energy relative to the lowest polymorph listed for this composition = 7.5 meV/atom
Density = 7.64 g cm⁻³

***

## Ce2DyAs (PBE)

Data for a geometry-optimized Ce2DyAs structure.

POSCAR file:
```
Ce2DyAs
1.0
1.928 1.113 9.425
-1.928 1.113 9.425
0.000 -2.226 9.425
Ce Dy As
2 1 1
Direct
0.233 0.233 0.233
0.767 0.767 0.767
0.000 0.000 0.000
0.500 0.500 0.500
```

Computed properties:
Symmetry = No. 166
Electronic total energy = -5.715 eV per atom
Density = 7.09 g cm⁻³

***

## Ce6DyAs8 (PBE)

Data for a geometry-optimized Ce6DyAs8 structure.

POSCAR file:
```
Ce6DyAs8
1.0
0.000 5.924 5.924
5.924 0.000 5.924
5.924 5.924 0.000
Ce Dy As
6 1 8
Direct
0.000 0.000 0.500
0.000 0.500 0.000
0.000 0.500 0.500
0.500 0.000 0.000
0.500 0.000 0.500
0.500 0.500 0.000
0.000 0.000 0.000
0.247 0.247 0.753
0.247 0.753 0.247
0.247 0.753 0.753
0.250 0.250 0.250
0.750 0.750 0.750
0.753 0.247 0.247
0.753 0.247 0.753
0.753 0.753 0.247
```

Computed properties:
Symmetry = No. 225
Electronic total energy = -6.390 eV per atom
Density = 6.40 g cm⁻³

***

## Ce3DyAs4 (PBE)

Data for a geometry-optimized Ce3DyAs4 structure.

POSCAR file:
```
Ce3DyAs4
1.0
5.928 0.000 0.000
0.000 5.928 0.000
0.000 0.000 5.928
Ce Dy As
3 1 4
Direct
0.000 0.000 0.500
0.000 0.500 0.000
0.500 0.000 0.000
0.500 0.500 0.500
0.000 0.000 0.000
0.000 0.500 0.500
0.500 0.000 0.500
0.500 0.500 0.000
```

Computed properties:
Symmetry = No. 221
Energy relative to the lowest polymorph listed for this composition = 4.4 meV/atom
Density = 7.03 g cm⁻³

***

## Ce2DyEr3As6 (PBE)

Data for a geometry-optimized Ce2DyEr3As6 structure.

POSCAR file:
```
Ce2DyEr3As6
1.0
8.996 -2.069 0.000
8.996 2.069 0.000
-1.881 0.000 8.046
Ce Dy Er As
2 1 3 6
Direct
0.166 0.166 0.332
0.834 0.834 0.668
0.500 0.500 0.000
0.166 0.166 0.834
0.500 0.500 0.500
0.834 0.834 0.166
0.001 0.001 0.749
0.333 0.333 0.921
0.335 0.335 0.413
0.665 0.665 0.587
0.667 0.667 0.079
0.999 0.999 0.251
```

Computed properties:
Symmetry = No. 12
Electronic total energy = -6.328 eV per atom
Density = 7.73 g cm⁻³

***

## Ce2Dy3ErAs6 (PBE)

Data for a geometry-optimized Ce2Dy3ErAs6 structure.

POSCAR file:
```
Ce2Dy3ErAs6
1.0
9.025 -2.074 0.000
9.025 2.074 0.000
-1.898 0.000 8.069
Ce Dy Er As
2 3 1 6
Direct
0.165 0.165 0.331
0.835 0.835 0.669
0.167 0.167 0.834
0.500 0.500 0.500
0.833 0.833 0.166
0.500 0.500 0.000
0.001 0.001 0.752
0.334 0.334 0.414
0.334 0.334 0.920
0.666 0.666 0.080
0.666 0.666 0.586
0.999 0.999 0.248
```

Computed properties:
Symmetry = No. 12
Electronic total energy = -6.341 eV per atom
Density = 7.61 g cm⁻³

***

no.,D(E_F) (states/eV per cell)
1,23.58
2,8.16
3,15.80
4,6.14
5,28.22
6,25.60
7,6.92
8,11.44
9,25.81
10,16.00
11,11.63
12,11.50